1.
VASP calculation (PBE) on CaIrSCl2 after structural relaxation.

Computed properties:
Magnetization   2.3 μB/f.u.
ΔE_f (raw)   0.283 eV/atom
Symmetry   P4/mmm, No. 123
Total DFT energy (no corrections)   -3.453 eV/atom
Energy above the most stable polymorph in this dataset   925.1 meV/atom
ρ   3.86 g/cm³
N(E_F)   10.998 states/eV per cell

a b c (Å): 5.0412 5.0412 5.6681
angles (deg): 90.00 90.00 90.00
Each line ends with the local moment (μB).
Sites, in units of the cell vectors:
Ca 0.0000 0.0000 0.0000  0.00
Ir 0.5000 0.5000 0.5000  2.26
S 0.0000 0.0000 0.5000  -0.16
Cl 0.0000 0.5000 0.0000  0.04
Cl 0.5000 0.0000 0.0000  0.04



2.
VASP calculation (PBE) on KCaCl after structural relaxation.

Computed properties:
Magnetization   0.1 μB/f.u.
ΔE_f (raw)   -1.035 eV/atom
Symmetry   Fmm2, No. 42
Total DFT energy (no corrections)   -2.684 eV/atom
Energy above the most stable polymorph in this dataset   35.4 meV/atom
ρ   1.65 g/cm³
N(E_F)   2.093 states/eV per cell

a b c (Å): 8.6558 8.1465 4.1164
angles (deg): 82.82 69.03 28.15
Sites, in units of the cell vectors:
Ca 0.9683 0.9683 0.0317
K 0.6888 0.6888 0.3112
Cl 0.3429 0.3429 0.6571



3.
VASP calculation (PBE) on KCaCl after structural relaxation.

Computed properties:
Magnetization   0.3 μB/f.u.
ΔE_f (raw)   -1.055 eV/atom
Symmetry   Amm2, No. 38
Total DFT energy (no corrections)   -2.704 eV/atom
Energy above the most stable polymorph in this dataset   15.4 meV/atom
ρ   1.70 g/cm³
N(E_F)   4.837 states/eV per cell

a b c (Å): 4.0481 4.0533 15.7762
angles (deg): 90.00 90.00 119.96
Each line ends with the local moment (μB).
Sites, in units of the cell vectors:
Ca 0.5528 0.1055 0.0000  0.15
Ca 0.3346 0.6692 0.5000  0.00
K 0.6667 0.3334 0.2742  0.00
K 0.6667 0.3334 0.7258  0.00
Cl 0.2229 0.4459 0.8899  0.01
Cl 0.2229 0.4459 0.1101  0.01



4.
VASP calculation (PBE) on KCa2Cl after structural relaxation.

Computed properties:
Magnetization   0.0 μB/f.u.
ΔE_f (raw)   -0.685 eV/atom
Symmetry   R-3m, No. 166
Total DFT energy (no corrections)   -2.422 eV/atom
Energy above the most stable polymorph in this dataset   118.4 meV/atom
ρ   1.67 g/cm³
N(E_F)   2.097 states/eV per cell

a b c (Å): 11.5995 11.5995 11.5995
angles (deg): 19.60 19.60 19.60
Sites, in units of the cell vectors:
Ca 0.9787 0.9787 0.9787
Ca 0.5213 0.5213 0.5213
K 0.7500 0.7500 0.7500
Cl 0.2500 0.2500 0.2500



5.
VASP calculation (PBE) on K3Ca5Cl12 after structural relaxation.

Computed properties:
Magnetization   0.0 μB/f.u.
ΔE_f (raw)   -2.125 eV/atom
Symmetry   Ia-3d, No. 230
Total DFT energy (no corrections)   -3.898 eV/atom
ρ   1.83 g/cm³
N(E_F)   7.641 states/eV per cell

a b c (Å): 15.1903 15.1903 15.1903
angles (deg): 109.47 109.47 109.47
Sites, in units of the cell vectors:
K 0.7500 0.3750 0.1250
K 0.8750 0.7500 0.1250
K 0.3750 0.7500 0.6250
K 0.2500 0.1250 0.3750
K 0.8750 0.1250 0.2500
K 0.3750 0.6250 0.2500
K 0.6250 0.3750 0.7500
K 0.1250 0.8750 0.7500
K 0.7500 0.8750 0.6250
K 0.6250 0.2500 0.3750
K 0.1250 0.2500 0.8750
K 0.2500 0.6250 0.8750
Ca 0.1250 0.3750 0.2500
Ca 0.0000 0.5000 0.0000
Ca 0.0000 0.0000 0.0000
Ca 0.3750 0.2500 0.1250
Ca 0.5000 0.0000 0.5000
Ca 0.5000 0.5000 0.0000
Ca 0.1250 0.7500 0.3750
Ca 0.7500 0.1250 0.8750
Ca 0.7500 0.6250 0.3750
Ca 0.3750 0.1250 0.7500
Ca 0.6250 0.8750 0.2500
Ca 0.5000 0.5000 0.5000
Ca 0.5000 0.0000 0.0000
Ca 0.0000 0.0000 0.5000
Ca 0.2500 0.3750 0.6250
Ca 0.2500 0.8750 0.1250
Ca 0.0000 0.5000 0.5000
Ca 0.8750 0.2500 0.6250
Ca 0.6250 0.7500 0.8750
Ca 0.8750 0.6250 0.7500
Cl 0.6996 0.1222 0.0253
Cl 0.3257 0.5253 0.4031
Cl 0.9747 0.3778 0.3004
Cl 0.5253 0.1996 0.1222
Cl 0.5773 0.6996 0.6743
Cl 0.9747 0.5969 0.1743
Cl 0.3257 0.8004 0.4227
Cl 0.0969 0.9227 0.1222
Cl 0.5969 0.9747 0.6743
Cl 0.6996 0.5773 0.1743
Cl 0.8004 0.4747 0.3778
Cl 0.8257 0.9031 0.0253
Cl 0.1222 0.6996 0.5253
Cl 0.3778 0.4031 0.0773
Cl 0.0773 0.9031 0.3778
Cl 0.4227 0.1222 0.5969
Cl 0.0773 0.1743 0.1996
Cl 0.4747 0.6743 0.0969
Cl 0.8257 0.9227 0.3004
Cl 0.1222 0.4227 0.0969
Cl 0.3778 0.9747 0.8004
Cl 0.5969 0.6222 0.4227
Cl 0.9031 0.8257 0.5253
Cl 0.8004 0.3257 0.9227
Cl 0.4031 0.3778 0.5773
Cl 0.0969 0.1743 0.4747
Cl 0.1996 0.6743 0.0773
Cl 0.1743 0.0773 0.6996
Cl 0.6222 0.0253 0.1996
Cl 0.8778 0.5773 0.9031
Cl 0.5253 0.3257 0.9031
Cl 0.5773 0.8778 0.4031
Cl 0.9227 0.8257 0.8004
Cl 0.9227 0.0969 0.6222
Cl 0.8778 0.3004 0.4747
Cl 0.1743 0.0969 0.9747
Cl 0.6222 0.5969 0.9227
Cl 0.4031 0.0253 0.3257
Cl 0.3004 0.4227 0.8257
Cl 0.1996 0.5253 0.6222
Cl 0.9031 0.0773 0.8778
Cl 0.6743 0.1996 0.5773
Cl 0.4747 0.8004 0.8778
Cl 0.0253 0.4031 0.8257
Cl 0.4227 0.3004 0.3257
Cl 0.0253 0.6222 0.6996
Cl 0.6743 0.4747 0.5969
Cl 0.3004 0.8778 0.9747



6.
VASP calculation (PBE) on KCa2Cl after structural relaxation.

Computed properties:
Magnetization   0.0 μB/f.u.
ΔE_f (raw)   -0.663 eV/atom
Symmetry   Cmmm, No. 65
Total DFT energy (no corrections)   -2.400 eV/atom
Energy above the most stable polymorph in this dataset   140.1 meV/atom
ρ   1.61 g/cm³
N(E_F)   2.954 states/eV per cell

a b c (Å): 4.0151 4.0151 11.6701
angles (deg): 90.00 90.00 122.01
Sites, in units of the cell vectors:
Ca 0.0000 0.0000 0.0599
Ca 0.0000 0.0000 0.4401
K 0.5000 0.5000 0.7500
Cl 0.5000 0.5000 0.2500



7.
VASP calculation (PBE) on KCa2Cl after structural relaxation.

Computed properties:
Magnetization   0.0 μB/f.u.
ΔE_f (raw)   -0.413 eV/atom
Symmetry   Pmmm, No. 47
Total DFT energy (no corrections)   -2.150 eV/atom
Energy above the most stable polymorph in this dataset   390.3 meV/atom
ρ   1.52 g/cm³
N(E_F)   3.581 states/eV per cell

a b c (Å): 4.1359 5.8708 6.9609
angles (deg): 90.00 90.00 90.00
Sites, in units of the cell vectors:
Ca 0.0000 0.0000 0.0000
Ca 0.5000 0.5000 0.0000
K 0.0000 0.5000 0.5000
Cl 0.5000 0.0000 0.5000



8.
VASP calculation (PBE) on KCa2Cl after structural relaxation.

Computed properties:
Magnetization   0.0 μB/f.u.
ΔE_f (raw)   -0.524 eV/atom
Symmetry   P4/mmm, No. 123
Total DFT energy (no corrections)   -2.261 eV/atom
Energy above the most stable polymorph in this dataset   279.7 meV/atom
ρ   1.68 g/cm³
N(E_F)   3.003 states/eV per cell

a b c (Å): 3.6950 3.6950 11.1705
angles (deg): 90.00 90.00 90.00
Sites, in units of the cell vectors:
Ca 0.0000 0.0000 0.0569
Ca 0.0000 0.0000 0.4431
K 0.5000 0.5000 0.7500
Cl 0.5000 0.5000 0.2500



9.
VASP calculation (PBE) on KCa2Cl after structural relaxation.

Computed properties:
Magnetization   0.0 μB/f.u.
ΔE_f (raw)   -0.485 eV/atom
Symmetry   I-42d, No. 122
Total DFT energy (no corrections)   -2.222 eV/atom
Energy above the most stable polymorph in this dataset   318.5 meV/atom
ρ   1.14 g/cm³
N(E_F)   7.255 states/eV per cell

a b c (Å): 7.5335 7.5335 9.5716
angles (deg): 66.83 66.83 90.00
Sites, in units of the cell vectors:
Ca 0.3816 0.1250 0.2500
Ca 0.3684 0.6250 0.2500
Ca 0.3750 0.6184 0.7500
Ca 0.8750 0.6316 0.7500
K 0.0000 0.0000 0.0000
K 0.7500 0.2500 0.5000
Cl 0.5000 0.5000 0.0000
Cl 0.2500 0.7500 0.5000



10.
VASP calculation (PBE) on KCa2Cl after structural relaxation.

Computed properties:
Magnetization   0.0 μB/f.u.
ΔE_f (raw)   -0.683 eV/atom
Symmetry   P2/m, No. 10
Total DFT energy (no corrections)   -2.420 eV/atom
Energy above the most stable polymorph in this dataset   120.0 meV/atom
ρ   1.61 g/cm³
N(E_F)   3.426 states/eV per cell

a b c (Å): 3.7818 6.9958 7.0336
angles (deg): 59.29 90.00 90.00
Sites, in units of the cell vectors:
Ca 0.0000 0.0649 0.0643
Ca 0.0000 0.4351 0.4357
K 0.5000 0.7500 0.7500
Cl 0.5000 0.2500 0.2500



11.
VASP calculation (PBE) on K2CaCl4 after structural relaxation.

Computed properties:
Magnetization   0.0 μB/f.u.
ΔE_f (raw)   -2.168 eV/atom
Symmetry   Pbam, No. 55
Total DFT energy (no corrections)   -3.823 eV/atom
ρ   2.00 g/cm³
N(E_F)   0.000 states/eV per cell

a b c (Å): 4.2929 7.7472 12.9925
angles (deg): 90.00 90.00 90.00
Sites, in units of the cell vectors:
K 0.5000 0.9237 0.8196
K 0.5000 0.0763 0.1804
K 0.5000 0.4237 0.6804
K 0.5000 0.5763 0.3196
Ca 0.0000 0.0000 0.5000
Ca 0.0000 0.5000 0.0000
Cl 0.0000 0.6307 0.8059
Cl 0.0000 0.3693 0.1941
Cl 0.0000 0.1307 0.6941
Cl 0.0000 0.8693 0.3059
Cl 0.5000 0.7763 0.5460
Cl 0.5000 0.2237 0.4540
Cl 0.5000 0.7237 0.0460
Cl 0.5000 0.2763 0.9540



12.
VASP calculation (PBE) on KCaCl after structural relaxation.

Computed properties:
Magnetization   0.0 μB/f.u.
ΔE_f (raw)   -0.964 eV/atom
Symmetry   I4mm, No. 107
Total DFT energy (no corrections)   -2.613 eV/atom
Energy above the most stable polymorph in this dataset   106.4 meV/atom
ρ   1.82 g/cm³
N(E_F)   1.293 states/eV per cell

a b c (Å): 7.8410 7.8410 7.8410
angles (deg): 152.25 152.25 39.65
Sites, in units of the cell vectors:
Ca 0.0324 0.0324 0.0000
K 0.3090 0.3090 0.0000
Cl 0.6586 0.6586 0.0000



13.
VASP calculation (PBE) on KCaCl after structural relaxation.

Computed properties:
Magnetization   0.0 μB/f.u.
ΔE_f (raw)   -0.707 eV/atom
Symmetry   F-43m, No. 216
Total DFT energy (no corrections)   -2.355 eV/atom
Energy above the most stable polymorph in this dataset   363.8 meV/atom
ρ   1.80 g/cm³

a b c (Å): 5.3106 5.3106 5.3106
angles (deg): 60.00 60.00 60.00
Sites, in units of the cell vectors:
Ca 0.5000 0.5000 0.5000
K 0.0000 0.0000 0.0000
Cl 0.7500 0.7500 0.7500



14.
VASP calculation (PBE) on KCa2Cl after structural relaxation.

Computed properties:
Magnetization   0.0 μB/f.u.
ΔE_f (raw)   -0.686 eV/atom
Symmetry   Cm, No. 8
Total DFT energy (no corrections)   -2.423 eV/atom
Energy above the most stable polymorph in this dataset   117.0 meV/atom
ρ   1.63 g/cm³
N(E_F)   3.119 states/eV per cell

a b c (Å): 6.9610 6.9610 7.1306
angles (deg): 61.67 61.67 31.57
Sites, in units of the cell vectors:
Ca 0.0299 0.0299 0.0062
Ca 0.8303 0.8303 0.7512
K 0.1907 0.1907 0.3647
Cl 0.4492 0.4492 0.3779



15.
VASP calculation (PBE) on K12Ca3Cl5 after structural relaxation.

Computed properties:
Magnetization   0.0 μB/f.u.
ΔE_f (raw)   -0.711 eV/atom
Symmetry   Ia-3d, No. 230
Total DFT energy (no corrections)   -2.132 eV/atom
ρ   1.12 g/cm³
N(E_F)   54.450 states/eV per cell

a b c (Å): 18.0497 18.0497 18.0497
angles (deg): 109.47 109.47 109.47
Sites, in units of the cell vectors:
Ca 0.7500 0.3750 0.1250
Ca 0.8750 0.7500 0.1250
Ca 0.3750 0.7500 0.6250
Ca 0.2500 0.1250 0.3750
Ca 0.8750 0.1250 0.2500
Ca 0.3750 0.6250 0.2500
Ca 0.6250 0.3750 0.7500
Ca 0.1250 0.8750 0.7500
Ca 0.7500 0.8750 0.6250
Ca 0.6250 0.2500 0.3750
Ca 0.1250 0.2500 0.8750
Ca 0.2500 0.6250 0.8750
Cl 0.1250 0.3750 0.2500
Cl 0.0000 0.5000 0.0000
Cl 0.0000 0.0000 0.0000
Cl 0.3750 0.2500 0.1250
Cl 0.5000 0.0000 0.5000
Cl 0.5000 0.5000 0.0000
Cl 0.1250 0.7500 0.3750
Cl 0.7500 0.1250 0.8750
Cl 0.7500 0.6250 0.3750
Cl 0.3750 0.1250 0.7500
Cl 0.6250 0.8750 0.2500
Cl 0.5000 0.5000 0.5000
Cl 0.5000 0.0000 0.0000
Cl 0.0000 0.0000 0.5000
Cl 0.2500 0.3750 0.6250
Cl 0.2500 0.8750 0.1250
Cl 0.0000 0.5000 0.5000
Cl 0.8750 0.2500 0.6250
Cl 0.6250 0.7500 0.8750
Cl 0.8750 0.6250 0.7500
K 0.6915 0.1037 0.0093
K 0.3177 0.5093 0.4056
K 0.9907 0.3963 0.3085
K 0.5093 0.1915 0.1037
K 0.5879 0.6915 0.6823
K 0.9907 0.5944 0.1823
K 0.3177 0.8085 0.4121
K 0.0944 0.9121 0.1037
K 0.5944 0.9907 0.6823
K 0.6915 0.5879 0.1823
K 0.8085 0.4907 0.3963
K 0.8177 0.9056 0.0093
K 0.1037 0.6915 0.5093
K 0.3963 0.4056 0.0879
K 0.0879 0.9056 0.3963
K 0.4121 0.1037 0.5944
K 0.0879 0.1823 0.1915
K 0.4907 0.6823 0.0944
K 0.8177 0.9121 0.3085
K 0.1037 0.4121 0.0944
K 0.3963 0.9907 0.8085
K 0.5944 0.6037 0.4121
K 0.9056 0.8177 0.5093
K 0.8085 0.3177 0.9121
K 0.4056 0.3963 0.5879
K 0.0944 0.1823 0.4907
K 0.1915 0.6823 0.0879
K 0.1823 0.0879 0.6915
K 0.6037 0.0093 0.1915
K 0.8963 0.5879 0.9056
K 0.5093 0.3177 0.9056
K 0.5879 0.8963 0.4056
K 0.9121 0.8177 0.8085
K 0.9121 0.0944 0.6037
K 0.8963 0.3085 0.4907
K 0.1823 0.0944 0.9907
K 0.6037 0.5944 0.9121
K 0.4056 0.0093 0.3177
K 0.3085 0.4121 0.8177
K 0.1915 0.5093 0.6037
K 0.9056 0.0879 0.8963
K 0.6823 0.1915 0.5879
K 0.4907 0.8085 0.8963
K 0.0093 0.4056 0.8177
K 0.4121 0.3085 0.3177
K 0.0093 0.6037 0.6915
K 0.6823 0.4907 0.5944
K 0.3085 0.8963 0.9907



16.
VASP calculation (PBE) on KCa3Cl after structural relaxation.

Computed properties:
Magnetization   0.0 μB/f.u.
ΔE_f (raw)   -0.381 eV/atom
Symmetry   Pm-3m, No. 221
Total DFT energy (no corrections)   -2.170 eV/atom
Energy above the most stable polymorph in this dataset   0.0 meV/atom
ρ   1.54 g/cm³
N(E_F)   3.818 states/eV per cell

a b c (Å): 5.9486 5.9486 5.9486
angles (deg): 90.00 90.00 90.00
Sites, in units of the cell vectors:
Ca 0.0000 0.5000 0.0000
Ca 0.0000 0.0000 0.5000
Ca 0.5000 0.0000 0.0000
K 0.5000 0.5000 0.5000
Cl 0.0000 0.0000 0.0000



17.
VASP calculation (PBE) on KCa2Cl2 after structural relaxation.

Computed properties:
Magnetization   0.0 μB/f.u.
ΔE_f (raw)   -1.250 eV/atom
Symmetry   I4/mmm, No. 139
Total DFT energy (no corrections)   -3.009 eV/atom
ρ   1.81 g/cm³
N(E_F)   2.744 states/eV per cell

a b c (Å): 5.0860 5.0860 7.6531
angles (deg): 70.59 70.59 90.00
Sites, in units of the cell vectors:
Ca 0.3586 0.3586 0.2827
Ca 0.6414 0.6414 0.7173
K 0.0000 0.0000 0.0000
Cl 0.7500 0.2500 0.5000
Cl 0.2500 0.7500 0.5000



18.
VASP calculation (PBE) on KCa2Cl5 after structural relaxation.

Computed properties:
Magnetization   0.1 μB/f.u.
ΔE_f (raw)   -2.257 eV/atom
Symmetry   Immm, No. 71
Total DFT energy (no corrections)   -4.049 eV/atom
ρ   2.24 g/cm³
N(E_F)   0.000 states/eV per cell

a b c (Å): 4.2597 7.0192 8.4295
angles (deg): 114.60 104.64 90.00
Sites, in units of the cell vectors:
K 0.0000 0.0000 0.0000
Ca 0.1839 0.6839 0.3678
Ca 0.8161 0.3161 0.6322
Cl 0.0000 0.5000 0.0000
Cl 0.6570 0.3961 0.3140
Cl 0.3430 0.6039 0.6860
Cl 0.6570 0.9178 0.3140
Cl 0.3430 0.0822 0.6860



19.
VASP calculation (PBE) on KCa4Cl8 after structural relaxation.

Computed properties:
Magnetization   0.0 μB/f.u.
ΔE_f (raw)   -2.160 eV/atom
Symmetry   F-43m, No. 216
Total DFT energy (no corrections)   -3.997 eV/atom
ρ   1.84 g/cm³
N(E_F)   4.707 states/eV per cell

a b c (Å): 8.5052 8.5052 8.5052
angles (deg): 60.00 60.00 60.00
Sites, in units of the cell vectors:
K 0.7500 0.7500 0.7500
Ca 0.8843 0.3719 0.3719
Ca 0.3719 0.8843 0.3719
Ca 0.3719 0.3719 0.8843
Ca 0.3719 0.3719 0.3719
Cl 0.5778 0.1407 0.1407
Cl 0.1407 0.5778 0.1407
Cl 0.1407 0.1407 0.5778
Cl 0.1407 0.1407 0.1407
Cl 0.1821 0.6060 0.6060
Cl 0.6060 0.1821 0.6060
Cl 0.6060 0.6060 0.1821
Cl 0.6060 0.6060 0.6060